Version w
Compound: Cd2ReH
Source: Alexandria
Functional: PBE
Structure: optimized geometry

Lattice parameters (Å, degrees): 6.541 6.541 6.541 90.00 90.00 90.00
Space group Fm-3m (No. 225)
Inequivalent atoms, fractional coordinates:
1 Cd 0.250 0.250 0.250 [8 per cell]
2 Re 0.000 0.000 0.000 [4 per cell]
3 H 0.000 0.000 0.500 [4 per cell]

## Properties
The value obtained for the magnetic moment is 10.1 μB/cell. The density of states at the Fermi level is 0.474 states/eV per atom.



Version x
Compound: Cd2ReH
Source: Alexandria
Functional: PBE
Structure: optimized geometry

Lattice parameters (Å, degrees): 7.038 7.038 4.903 90.00 90.00 90.00
Space group I-42d (No. 122)
Inequivalent atoms, fractional coordinates:
1 Cd 0.168 0.750 0.125 [8 per cell]
2 Re 0.000 0.000 0.500 [4 per cell]
3 H 0.000 0.000 0.000 [4 per cell]

## Properties
The value obtained for the magnetic moment is 1.5 μB/cell. The density of states at the Fermi level is 0.716 states/eV per atom.



Most stable to least stable, the ends of the list are version x and version w.